Model a:
VASP calculation (PBE) on a relaxed LiInCoW crystal.

Values from the calculation:
The mass density comes out at 9.901 Mg/m³.

a b c (Å): 4.4218 4.4218 4.4218
angles (deg): 60.00 60.00 60.00
Last column: nearest neighbours and their distance in Å.
Fractional coordinates of all 4 atoms:
Li (0.5000, 0.5000, 0.5000)  4 W 2.71, 4 Co 2.71
W (0.2500, 0.2500, 0.2500)  4 Li 2.71, 4 In 2.71
In (0.0000, 0.0000, 0.0000)  4 Co 2.71, 4 W 2.71
Co (0.7500, 0.7500, 0.7500)  4 In 2.71, 4 Li 2.71

---

Model b:
VASP calculation (PBE) on a relaxed LiInCoW crystal.

Values from the calculation:
The mass density comes out at 10.727 Mg/m³.

a b c (Å): 4.3053 4.3053 4.3053
angles (deg): 60.00 60.00 60.00
Last column: nearest neighbours and their distance in Å.
Fractional coordinates of all 4 atoms:
Co (0.7500, 0.7500, 0.7500)  4 W 2.64, 4 In 2.64
In (0.0000, 0.0000, 0.0000)  4 Co 2.64, 4 Li 2.64
W (0.5000, 0.5000, 0.5000)  4 Co 2.64, 4 Li 2.64
Li (0.2500, 0.2500, 0.2500)  4 W 2.64, 4 In 2.64

---

Need the numbers? Relative energies in meV/atom: model a 482; model b 0.

---

Model a:
VASP calculation (PBE) on a relaxed LiZrInCo crystal.

Values from the calculation:
The mass density comes out at 6.812 Mg/m³.

a b c (Å): 4.5426 4.5426 4.5426
angles (deg): 60.00 60.00 60.00
Last column: nearest neighbours and their distance in Å.
Fractional coordinates of all 4 atoms:
In (0.0000, 0.0000, 0.0000)  4 Zr 2.78, 4 Co 2.78
Zr (0.2500, 0.2500, 0.2500)  4 In 2.78, 4 Li 2.78
Co (0.7500, 0.7500, 0.7500)  4 Li 2.78, 4 In 2.78
Li (0.5000, 0.5000, 0.5000)  4 Co 2.78, 4 Zr 2.78

---

Model b:
VASP calculation (PBE) on a relaxed LiZrInCo crystal.

Values from the calculation:
The mass density comes out at 7.062 Mg/m³.

a b c (Å): 4.4884 4.4884 4.4884
angles (deg): 60.00 60.00 60.00
Last column: nearest neighbours and their distance in Å.
Fractional coordinates of all 4 atoms:
Co (0.7500, 0.7500, 0.7500)  4 Zr 2.75, 4 In 2.75
Li (0.2500, 0.2500, 0.2500)  4 In 2.75, 4 Zr 2.75
In (0.0000, 0.0000, 0.0000)  4 Li 2.75, 4 Co 2.75
Zr (0.5000, 0.5000, 0.5000)  4 Co 2.75, 4 Li 2.75

---

Need the numbers? Relative energies in meV/atom: model a 370; model b 0.

---

Model a:
VASP calculation (PBE) on a relaxed LuInCoMo crystal.

Values from the calculation:
The mass density comes out at 10.142 Mg/m³.

a b c (Å): 4.6869 4.6869 4.6869
angles (deg): 60.00 60.00 60.00
Last column: nearest neighbours and their distance in Å.
Fractional coordinates of all 4 atoms:
In (0.0000, 0.0000, 0.0000)  4 Co 2.87, 4 Lu 2.87
Lu (0.2500, 0.2500, 0.2500)  4 In 2.87, 4 Mo 2.87
Mo (0.5000, 0.5000, 0.5000)  4 Co 2.87, 4 Lu 2.87
Co (0.7500, 0.7500, 0.7500)  4 In 2.87, 4 Mo 2.87

---

Model b:
VASP calculation (PBE) on a relaxed LuInCoMo crystal.

Values from the calculation:
The mass density comes out at 10.174 Mg/m³.

a b c (Å): 4.6820 4.6820 4.6820
angles (deg): 60.00 60.00 60.00
Last column: nearest neighbours and their distance in Å.
Fractional coordinates of all 4 atoms:
In (0.0000, 0.0000, 0.0000)  4 Mo 2.87, 4 Co 2.87
Lu (0.5000, 0.5000, 0.5000)  4 Mo 2.87, 4 Co 2.87
Mo (0.2500, 0.2500, 0.2500)  4 Lu 2.87, 4 In 2.87
Co (0.7500, 0.7500, 0.7500)  4 In 2.87, 4 Lu 2.87

---

Need the numbers? Relative energies in meV/atom: model a 114; model b 0.

---

Model a:
VASP calculation (PBE) on a relaxed LuInCoNi crystal.

Values from the calculation:
The mass density comes out at 9.910 Mg/m³.

a b c (Å): 4.5875 4.5875 4.5875
angles (deg): 60.00 60.00 60.00
Last column: nearest neighbours and their distance in Å.
Fractional coordinates of all 4 atoms:
Co (0.5000, 0.5000, 0.5000)  4 Lu 2.81, 4 Ni 2.81
Ni (0.7500, 0.7500, 0.7500)  4 Co 2.81, 4 In 2.81
Lu (0.2500, 0.2500, 0.2500)  4 Co 2.81, 4 In 2.81
In (0.0000, 0.0000, 0.0000)  4 Lu 2.81, 4 Ni 2.81

---

Model b:
VASP calculation (PBE) on a relaxed LuInCoNi crystal.

Values from the calculation:
The mass density comes out at 10.377 Mg/m³.

a b c (Å): 4.5176 4.5176 4.5176
angles (deg): 60.00 60.00 60.00
Last column: nearest neighbours and their distance in Å.
Fractional coordinates of all 4 atoms:
Co (0.7500, 0.7500, 0.7500)  4 In 2.77, 4 Lu 2.77
In (0.0000, 0.0000, 0.0000)  4 Co 2.77, 4 Ni 2.77
Ni (0.2500, 0.2500, 0.2500)  4 In 2.77, 4 Lu 2.77
Lu (0.5000, 0.5000, 0.5000)  4 Co 2.77, 4 Ni 2.77

---

Model c:
VASP calculation (PBE) on a relaxed LuInCoNi crystal.

Values from the calculation:
The mass density comes out at 9.970 Mg/m³.

a b c (Å): 4.5783 4.5783 4.5783
angles (deg): 60.00 60.00 60.00
Last column: nearest neighbours and their distance in Å.
Fractional coordinates of all 4 atoms:
In (0.0000, 0.0000, 0.0000)  4 Lu 2.80, 4 Co 2.80
Lu (0.2500, 0.2500, 0.2500)  4 In 2.80, 4 Ni 2.80
Ni (0.5000, 0.5000, 0.5000)  4 Co 2.80, 4 Lu 2.80
Co (0.7500, 0.7500, 0.7500)  4 Ni 2.80, 4 In 2.80

---

Need the numbers? Relative energies in meV/atom: model a 365; model b 0; model c 343.